# 1
Compound: PuSnTe
Source: the Open Quantum Materials Database
Functional: PBE-GGA
Structure: optimized geometry

The structure belongs to space group F-43m (No. 216); the cell edges are 7.320, 7.320 and 7.320 Å and the angles 90.00°, 90.00° and 90.00°. Symmetry generates all atoms from Pu at (0.000, 0.000, 0.000), Sn at (0.000, 0.000, 0.500) and Te at (0.250, 0.250, 0.250).

The uncorrected energy is -0.268 Ha/atom.


# 2
Compound: PuSnTe
Source: the Open Quantum Materials Database
Functional: PBE-GGA
Structure: optimized geometry

The structure belongs to space group F-43m (No. 216); the cell edges are 7.385, 7.385 and 7.385 Å and the angles 90.00°, 90.00° and 90.00°. Symmetry generates all atoms from Pu at (0.000, 0.000, 0.000), Sn at (0.250, 0.250, 0.750) and Te at (0.250, 0.250, 0.250).

The uncorrected energy is -0.272 Ha/atom.


# 3
Compound: PuThSn6
Source: the Open Quantum Materials Database
Functional: PBE-GGA
Structure: optimized geometry

The structure belongs to space group P4/mmm (No. 123); the cell edges are 4.705, 4.705 and 9.323 Å and the angles 90.00°, 90.00° and 90.00°. Symmetry generates all atoms from Pu at (0.000, 0.000, 0.000), Th at (0.000, 0.000, 0.500), Sn at (0.000, 0.500, 0.241), Sn at (0.500, 0.500, 0.000) and Sn at (0.500, 0.500, 0.500).

The uncorrected energy is -0.215 Ha/atom.


# 4
Compound: PuThSn
Source: the Open Quantum Materials Database
Functional: PBE-GGA
Structure: optimized geometry

The structure belongs to space group F-43m (No. 216); the cell edges are 7.181, 7.181 and 7.181 Å and the angles 90.00°, 90.00° and 90.00°. Symmetry generates all atoms from Pu at (0.000, 0.000, 0.000), Th at (0.250, 0.250, 0.250) and Sn at (0.250, 0.250, 0.750).

As for the excess energy over the best structure of this formula in the dataset: 0.000 eV per atom. The uncorrected energy is -0.306 Ha/atom.


# 5
Compound: PuTlSn
Source: the Open Quantum Materials Database
Functional: PBE-GGA
Structure: optimized geometry

The structure belongs to space group F-43m (No. 216); the cell edges are 7.217, 7.217 and 7.217 Å and the angles 90.00°, 90.00° and 90.00°. Symmetry generates all atoms from Pu at (0.000, 0.000, 0.000), Tl at (0.250, 0.250, 0.250) and Sn at (0.250, 0.250, 0.750).

As for the excess energy over the best structure of this formula in the dataset: 0.009 eV per atom. The uncorrected energy is -0.248 Ha/atom.


# 6
Compound: PuTlSn
Source: the Open Quantum Materials Database
Functional: PBE-GGA
Structure: optimized geometry

The structure belongs to space group F-43m (No. 216); the cell edges are 7.232, 7.232 and 7.232 Å and the angles 90.00°, 90.00° and 90.00°. Symmetry generates all atoms from Pu at (0.000, 0.000, 0.000), Tl at (0.250, 0.250, 0.250) and Sn at (0.000, 0.000, 0.500).

As for the excess energy over the best structure of this formula in the dataset: 0.000 eV per atom. The uncorrected energy is -0.249 Ha/atom.


# 7
Compound: TmPuSn
Source: the Open Quantum Materials Database
Functional: PBE-GGA
Structure: optimized geometry

The structure belongs to space group F-43m (No. 216); the cell edges are 7.177, 7.177 and 7.177 Å and the angles 90.00°, 90.00° and 90.00°. Symmetry generates all atoms from Tm at (0.000, 0.000, 0.000), Pu at (0.250, 0.250, 0.750) and Sn at (0.250, 0.250, 0.250).

As for the excess energy over the best structure of this formula in the dataset: 0.000 eV per atom. The uncorrected energy is -0.274 Ha/atom.


# 8
Compound: PuSnW
Source: the Open Quantum Materials Database
Functional: PBE-GGA
Structure: optimized geometry

The structure belongs to space group F-43m (No. 216); the cell edges are 6.611, 6.611 and 6.611 Å and the angles 90.00°, 90.00° and 90.00°. Symmetry generates all atoms from Pu at (0.000, 0.000, 0.000), Sn at (0.000, 0.000, 0.500) and W at (0.250, 0.250, 0.250).

As for the excess energy over the best structure of this formula in the dataset: 0.000 eV per atom. The uncorrected energy is -0.364 Ha/atom.


# 9
Compound: PuSnW
Source: the Open Quantum Materials Database
Functional: PBE-GGA
Structure: optimized geometry

The structure belongs to space group F-43m (No. 216); the cell edges are 6.771, 6.771 and 6.771 Å and the angles 90.00°, 90.00° and 90.00°. Symmetry generates all atoms from Pu at (0.000, 0.000, 0.000), Sn at (0.250, 0.250, 0.750) and W at (0.250, 0.250, 0.250).

As for the excess energy over the best structure of this formula in the dataset: 1.244 eV per atom. The uncorrected energy is -0.318 Ha/atom.


# 10
Compound: PuZnSn
Source: the Open Quantum Materials Database
Functional: PBE-GGA
Structure: optimized geometry

The structure belongs to space group F-43m (No. 216); the cell edges are 7.011, 7.011 and 7.011 Å and the angles 90.00°, 90.00° and 90.00°. Symmetry generates all atoms from Pu at (0.000, 0.000, 0.000), Zn at (0.250, 0.250, 0.250) and Sn at (0.250, 0.250, 0.750).

The uncorrected energy is -0.231 Ha/atom.


# 11
Compound: PuZnSn
Source: the Open Quantum Materials Database
Functional: PBE-GGA
Structure: optimized geometry

The structure belongs to space group F-43m (No. 216); the cell edges are 6.665, 6.665 and 6.665 Å and the angles 90.00°, 90.00° and 90.00°. Symmetry generates all atoms from Pu at (0.000, 0.000, 0.000), Zn at (0.250, 0.250, 0.250) and Sn at (0.000, 0.000, 0.500).

The uncorrected energy is -0.247 Ha/atom.


# 12
Compound: SrTbPu
Source: the Open Quantum Materials Database
Functional: PBE-GGA
Structure: optimized geometry

The structure belongs to space group F-43m (No. 216); the cell edges are 7.967, 7.967 and 7.967 Å and the angles 90.00°, 90.00° and 90.00°. Symmetry generates all atoms from Sr at (0.000, 0.000, 0.000), Tb at (0.250, 0.250, 0.750) and Pu at (0.250, 0.250, 0.250).

The uncorrected energy is -0.211 Ha/atom.


# 13
Compound: SrPuTc
Source: the Open Quantum Materials Database
Functional: PBE-GGA
Structure: optimized geometry

The structure belongs to space group F-43m (No. 216); the cell edges are 6.909, 6.909 and 6.909 Å and the angles 90.00°, 90.00° and 90.00°. Symmetry generates all atoms from Sr at (0.000, 0.000, 0.000), Pu at (0.250, 0.250, 0.250) and Tc at (0.000, 0.000, 0.500).

The uncorrected energy is -0.248 Ha/atom.


# 14
Compound: SrPuTe
Source: the Open Quantum Materials Database
Functional: PBE-GGA
Structure: optimized geometry

The structure belongs to space group F-43m (No. 216); the cell edges are 7.600, 7.600 and 7.600 Å and the angles 90.00°, 90.00° and 90.00°. Symmetry generates all atoms from Sr at (0.000, 0.000, 0.000), Pu at (0.000, 0.000, 0.500) and Te at (0.250, 0.250, 0.750).

As for the excess energy over the best structure of this formula in the dataset: 0.000 eV per atom. The uncorrected energy is -0.249 Ha/atom.


# 15
Compound: SrPuTh
Source: the Open Quantum Materials Database
Functional: PBE-GGA
Structure: optimized geometry

The structure belongs to space group F-43m (No. 216); the cell edges are 7.529, 7.529 and 7.529 Å and the angles 90.00°, 90.00° and 90.00°. Symmetry generates all atoms from Sr at (0.000, 0.000, 0.000), Pu at (0.250, 0.250, 0.250) and Th at (0.000, 0.000, 0.500).

The uncorrected energy is -0.246 Ha/atom.


# 16
Compound: SrPuTl
Source: the Open Quantum Materials Database
Functional: PBE-GGA
Structure: optimized geometry

The structure belongs to space group F-43m (No. 216); the cell edges are 7.762, 7.762 and 7.762 Å and the angles 90.00°, 90.00° and 90.00°. Symmetry generates all atoms from Sr at (0.000, 0.000, 0.000), Pu at (0.000, 0.000, 0.500) and Tl at (0.250, 0.250, 0.750).

The uncorrected energy is -0.216 Ha/atom.


# 17
Compound: SrPuU
Source: the Open Quantum Materials Database
Functional: PBE-GGA
Structure: optimized geometry

The structure belongs to space group F-43m (No. 216); the cell edges are 7.501, 7.501 and 7.501 Å and the angles 90.00°, 90.00° and 90.00°. Symmetry generates all atoms from Sr at (0.000, 0.000, 0.000), Pu at (0.000, 0.000, 0.500) and U at (0.250, 0.250, 0.750).

As for the excess energy over the best structure of this formula in the dataset: 0.000 eV per atom. The uncorrected energy is -0.280 Ha/atom.


# 18
Compound: SrPuW
Source: the Open Quantum Materials Database
Functional: PBE-GGA
Structure: optimized geometry

The structure belongs to space group F-43m (No. 216); the cell edges are 7.059, 7.059 and 7.059 Å and the angles 90.00°, 90.00° and 90.00°. Symmetry generates all atoms from Sr at (0.000, 0.000, 0.000), Pu at (0.000, 0.000, 0.500) and W at (0.250, 0.250, 0.750).

As for the excess energy over the best structure of this formula in the dataset: 0.000 eV per atom. The uncorrected energy is -0.303 Ha/atom.


# 19
Compound: SrYPu
Source: the Open Quantum Materials Database
Functional: PBE-GGA
Structure: optimized geometry

The structure belongs to space group F-43m (No. 216); the cell edges are 8.169, 8.169 and 8.169 Å and the angles 90.00°, 90.00° and 90.00°. Symmetry generates all atoms from Sr at (0.000, 0.000, 0.000), Y at (0.000, 0.000, 0.500) and Pu at (0.250, 0.250, 0.750).

The uncorrected energy is -0.238 Ha/atom.


# 20
Compound: SrPuZn
Source: the Open Quantum Materials Database
Functional: PBE-GGA
Structure: optimized geometry

The structure belongs to space group F-43m (No. 216); the cell edges are 7.216, 7.216 and 7.216 Å and the angles 90.00°, 90.00° and 90.00°. Symmetry generates all atoms from Sr at (0.000, 0.000, 0.000), Pu at (0.250, 0.250, 0.250) and Zn at (0.000, 0.000, 0.500).

The uncorrected energy is -0.184 Ha/atom.


# 21
Compound: PuTa2
Source: the Open Quantum Materials Database
Functional: PBE-GGA
Structure: optimized geometry

The structure belongs to space group Fd-3m (No. 227, origin choice 2); the cell edges are 10.853, 10.853 and 10.853 Å and the angles 90.00°, 90.00° and 90.00°. Symmetry generates all atoms from Pu at (0.125, 0.125, 0.125) and Ta at (0.000, 0.000, 0.000).

The formation energy comes out at 3853 meV/atom. The uncorrected energy is -0.322 Ha/atom.


# 22
Compound: Pu2Ta
Source: the Open Quantum Materials Database
Functional: PBE-GGA
Structure: optimized geometry

The structure belongs to space group Fd-3m (No. 227, origin choice 2); the cell edges are 11.741, 11.741 and 11.741 Å and the angles 90.00°, 90.00° and 90.00°. Symmetry generates all atoms from Pu at (0.000, 0.000, 0.000) and Ta at (0.125, 0.125, 0.125).

The formation energy comes out at 2332 meV/atom. The uncorrected energy is -0.406 Ha/atom.


# 23
Compound: TbPuTa
Source: the Open Quantum Materials Database
Functional: PBE-GGA
Structure: optimized geometry

The structure belongs to space group F-43m (No. 216); the cell edges are 6.984, 6.984 and 6.984 Å and the angles 90.00°, 90.00° and 90.00°. Symmetry generates all atoms from Tb at (0.000, 0.000, 0.000), Pu at (0.250, 0.250, 0.250) and Ta at (0.000, 0.000, 0.500).

The formation energy comes out at 1160 meV/atom. The uncorrected energy is -0.332 Ha/atom.


# 24
Compound: PuTaTc
Source: the Open Quantum Materials Database
Functional: PBE-GGA
Structure: optimized geometry

The structure belongs to space group F-43m (No. 216); the cell edges are 6.177, 6.177 and 6.177 Å and the angles 90.00°, 90.00° and 90.00°. Symmetry generates all atoms from Pu at (0.000, 0.000, 0.000), Ta at (0.250, 0.250, 0.750) and Tc at (0.250, 0.250, 0.250).

The formation energy comes out at 940 meV/atom. The uncorrected energy is -0.411 Ha/atom.


# 25
Compound: Pu2TaTe6
Source: the Open Quantum Materials Database
Functional: PBE-GGA
Structure: optimized geometry

The structure belongs to space group C2/m (No. 12); the cell edges are 15.695, 4.085 and 10.100 Å and the angles 90.00°, 105.02° and 90.00°. Symmetry generates all atoms from Pu at (0.158, 0.000, 0.329), Ta at (0.000, 0.500, 0.000), Te at (0.008, 0.500, 0.280), Te at (0.130, 0.000, 0.017) and Te at (0.194, 0.000, 0.642).

The uncorrected energy is -0.264 Ha/atom.


# 26
Compound: PuThTa
Source: the Open Quantum Materials Database
Functional: PBE-GGA
Structure: optimized geometry

The structure belongs to space group F-43m (No. 216); the cell edges are 6.639, 6.639 and 6.639 Å and the angles 90.00°, 90.00° and 90.00°. Symmetry generates all atoms from Pu at (0.000, 0.000, 0.000), Th at (0.250, 0.250, 0.250) and Ta at (0.250, 0.250, 0.750).

The formation energy comes out at 997 meV/atom. The uncorrected energy is -0.372 Ha/atom.


# 27
Compound: PuTaW
Source: the Open Quantum Materials Database
Functional: PBE-GGA
Structure: optimized geometry

The structure belongs to space group F-43m (No. 216); the cell edges are 6.200, 6.200 and 6.200 Å and the angles 90.00°, 90.00° and 90.00°. Symmetry generates all atoms from Pu at (0.000, 0.000, 0.000), Ta at (0.250, 0.250, 0.250) and W at (0.250, 0.250, 0.750).

The formation energy comes out at 1375 meV/atom. The uncorrected energy is -0.426 Ha/atom.


# 28
Compound: YPuTa
Source: the Open Quantum Materials Database
Functional: PBE-GGA
Structure: optimized geometry

The structure belongs to space group F-43m (No. 216); the cell edges are 6.659, 6.659 and 6.659 Å and the angles 90.00°, 90.00° and 90.00°. Symmetry generates all atoms from Y at (0.000, 0.000, 0.000), Pu at (0.250, 0.250, 0.750) and Ta at (0.000, 0.000, 0.500).

The formation energy comes out at 1828 meV/atom. As for the excess energy over the best structure of this formula in the dataset: 0.000 eV per atom. The uncorrected energy is -0.330 Ha/atom.


# 29
Compound: PuTaZn
Source: the Open Quantum Materials Database
Functional: PBE-GGA
Structure: optimized geometry

The structure belongs to space group F-43m (No. 216); the cell edges are 6.431, 6.431 and 6.431 Å and the angles 90.00°, 90.00° and 90.00°. Symmetry generates all atoms from Pu at (0.000, 0.000, 0.000), Ta at (0.000, 0.000, 0.500) and Zn at (0.250, 0.250, 0.250).

The formation energy comes out at 683 meV/atom. As for the excess energy over the best structure of this formula in the dataset: 0.000 eV per atom. The uncorrected energy is -0.309 Ha/atom.


# 30
Compound: Tb2Pu
Source: the Open Quantum Materials Database
Functional: PBE-GGA
Structure: optimized geometry

The structure belongs to space group Fd-3m (No. 227, origin choice 2); the cell edges are 11.977, 11.977 and 11.977 Å and the angles 90.00°, 90.00° and 90.00°. Symmetry generates all atoms from Tb at (0.000, 0.000, 0.000) and Pu at (0.125, 0.125, 0.125).

The formation energy comes out at 2391 meV/atom. The uncorrected energy is -0.199 Ha/atom.


# 31
Compound: TbPu2
Source: the Open Quantum Materials Database
Functional: PBE-GGA
Structure: optimized geometry

The structure belongs to space group Fd-3m (No. 227, origin choice 2); the cell edges are 14.351, 14.351 and 14.351 Å and the angles 90.00°, 90.00° and 90.00°. Symmetry generates all atoms from Tb at (0.125, 0.125, 0.125) and Pu at (0.000, 0.000, 0.000).

The formation energy comes out at 2338 meV/atom. The uncorrected energy is -0.317 Ha/atom.